# 1
First-principles (meta-GGA SCAN) data for a PBEsol-optimized structure of SrCu2Te2Cl2O6, as listed in the Alexandria database.

Cell lengths 7.1609, 7.1959, 8.2101 Å; angles 90.00, 96.70, 90.00 degrees
Fractional positions:
Sr 0.6258 0.9535 0.5617
Sr 0.3742 0.4535 0.4383
Cu 0.8241 0.9445 0.0821
Cu 0.8587 0.4601 0.5868
Cu 0.1759 0.4445 0.9179
Cu 0.1413 0.9601 0.4132
Te 0.6313 0.5917 0.8862
Te 0.8525 0.3257 0.2620
Te 0.3687 0.0917 0.1138
Te 0.1475 0.8257 0.7380
Cl 0.3997 0.2058 0.7400
Cl 0.0517 0.7233 0.1194
Cl 0.9483 0.2233 0.8806
Cl 0.6003 0.7058 0.2600
O 0.0389 0.4031 0.4374
O 0.7008 0.2928 0.4396
O 0.9696 0.0845 0.2521
O 0.9611 0.9031 0.5626
O 0.6369 0.5768 0.6550
O 0.6945 0.8471 0.8828
O 0.3674 0.6336 0.8791
O 0.0304 0.5845 0.7479
O 0.3055 0.3471 0.1172
O 0.3631 0.0768 0.3450
O 0.6326 0.1336 0.1209
O 0.2992 0.7928 0.5604

Output
Formation energy from raw total energies in eV per atom: -1.427
Size of the total moment in μB/f.u.: 2.0
E in Ry per atom: -1.1255
Volume in Å³/f.u.: 210.1



# 2
First-principles (meta-GGA SCAN) data for a PBEsol-optimized structure of Cu2Te2Cl2O5, as listed in the Alexandria database.

Cell lengths 6.3339, 7.4834, 7.4834 Å; angles 90.00, 90.00, 90.00 degrees
Fractional positions:
Cu 0.8461 0.4526 0.7346
Cu 0.8461 0.5474 0.2654
Cu 0.1539 0.7346 0.5474
Cu 0.1539 0.2654 0.4526
Te 0.3638 0.6551 0.1729
Te 0.6362 0.1729 0.3449
Te 0.6362 0.8271 0.6551
Te 0.3638 0.3449 0.8271
Cl 0.8031 0.7841 0.0925
Cl 0.8031 0.2159 0.9075
Cl 0.1969 0.9075 0.7841
Cl 0.1969 0.0925 0.2159
O 0.2202 0.5000 0.0000
O 0.8625 0.3323 0.4110
O 0.5588 0.5334 0.7717
O 0.4412 0.7717 0.4666
O 0.5588 0.4666 0.2283
O 0.1375 0.4110 0.6677
O 0.7798 0.0000 0.5000
O 0.4412 0.2283 0.5334
O 0.8625 0.6677 0.5890
O 0.1375 0.5890 0.3323

Output
Formation energy from raw total energies in eV per atom: -0.957
Size of the total moment in μB/f.u.: 2.0
E in Ry per atom: -1.0860
Volume in Å³/f.u.: 177.4



# 3
First-principles (meta-GGA SCAN) data for a PBEsol-optimized structure of ZnCuTeCl2O3, as listed in the Alexandria database.

Cell lengths 7.2945, 9.9929, 15.4301 Å; angles 90.00, 90.00, 90.00 degrees
Fractional positions:
Zn 0.8553 0.4833 0.6194
Zn 0.8553 0.0167 0.8806
Zn 0.6447 0.5167 0.1194
Zn 0.3553 0.4833 0.8806
Zn 0.1447 0.5167 0.3806
Zn 0.1447 0.9833 0.1194
Zn 0.3553 0.0167 0.6194
Zn 0.6447 0.9833 0.3806
Cu 0.8777 0.2356 0.4429
Cu 0.8777 0.2644 0.0571
Cu 0.3777 0.2356 0.0571
Cu 0.6223 0.7356 0.5571
Cu 0.1223 0.7356 0.9429
Cu 0.3777 0.2644 0.4429
Cu 0.6223 0.7644 0.9429
Cu 0.1223 0.7644 0.5571
Te 0.6867 0.0047 0.0920
Te 0.6867 0.4953 0.4080
Te 0.8133 0.9953 0.5920
Te 0.1867 0.4953 0.0920
Te 0.3133 0.9953 0.9080
Te 0.8133 0.5047 0.9080
Te 0.1867 0.0047 0.4080
Te 0.3133 0.5047 0.5920
Cl 0.4880 0.7083 0.1258
Cl 0.3165 0.4383 0.2735
Cl 0.5120 0.2917 0.8742
Cl 0.1835 0.5617 0.7735
Cl 0.6835 0.5617 0.7265
Cl 0.1835 0.9383 0.7265
Cl 0.4880 0.7917 0.3742
Cl 0.6835 0.9383 0.7735
Cl 0.5120 0.2083 0.6258
Cl 0.0120 0.2917 0.6258
Cl 0.9880 0.7083 0.3742
Cl 0.9880 0.7917 0.1258
Cl 0.3165 0.0617 0.2265
Cl 0.0120 0.2083 0.8742
Cl 0.8165 0.4383 0.2265
Cl 0.8165 0.0617 0.2735
O 0.6784 0.9489 0.9702
O 0.3216 0.4489 0.4702
O 0.1784 0.9489 0.5298
O 0.0732 0.5807 0.5782
O 0.3699 0.8091 0.9337
O 0.1301 0.3091 0.0663
O 0.6784 0.5511 0.5298
O 0.4268 0.0807 0.4218
O 0.6301 0.1909 0.0663
O 0.8216 0.0511 0.4702
O 0.3216 0.0511 0.0298
O 0.5732 0.5807 0.9218
O 0.6301 0.3091 0.4337
O 0.8699 0.6909 0.9337
O 0.1784 0.5511 0.9702
O 0.4268 0.4193 0.0782
O 0.1301 0.1909 0.4337
O 0.3699 0.6909 0.5663
O 0.9268 0.0807 0.0782
O 0.8699 0.8091 0.5663
O 0.5732 0.9193 0.5782
O 0.0732 0.9193 0.9218
O 0.9268 0.4193 0.4218
O 0.8216 0.4489 0.0298

Output
DOS at the Fermi energy in states/eV/atom: 0.134
Formation energy from raw total energies in eV per atom: -1.082
Size of the total moment in μB/f.u.: 0.0
E in Ry per atom: -1.0039
Volume in Å³/f.u.: 140.6



# 4
First-principles (meta-GGA SCAN) data for a PBEsol-optimized structure of CuOsCl, as listed in the Alexandria database.

Cell lengths 2.7476, 2.8709, 6.3306 Å; angles 84.04, 77.47, 61.41 degrees
Fractional positions:
Os 0.6660 0.0000 0.6681
Cu 0.3341 0.0000 0.3317
Cl 0.9999 0.0000 0.0002

Output
DOS at the Fermi energy in states/eV/atom: 0.647
Energy relative to the lowest polymorph listed for this composition in meV per atom: 31.3
Formation energy from raw total energies in eV per atom: 0.752
Size of the total moment in μB/f.u.: 0.0
E in Ry per atom: -2.2736
Volume in Å³/f.u.: 42.8



# 5
First-principles (meta-GGA SCAN) data for a PBEsol-optimized structure of CuOsCl3, as listed in the Alexandria database.

Cell lengths 4.5956, 4.5956, 4.5956 Å; angles 90.00, 90.00, 90.00 degrees
Fractional positions:
Os 0.5000 0.5000 0.5000
Cu 0.0000 0.0000 0.0000
Cl 0.0000 0.5000 0.0000
Cl 0.0000 0.0000 0.5000
Cl 0.5000 0.0000 0.0000

Output
DOS at the Fermi energy in states/eV/atom: 1.213
Formation energy from raw total energies in eV per atom: 0.840
Size of the total moment in μB/f.u.: 3.8
E in Ry per atom: -1.5701
Volume in Å³/f.u.: 97.1



# 6
First-principles (meta-GGA SCAN) data for a PBEsol-optimized structure of CuOsCl, as listed in the Alexandria database.

Cell lengths 2.8477, 2.8477, 5.9181 Å; angles 90.00, 90.00, 120.00 degrees
Fractional positions:
Os 0.6667 0.3333 0.3352
Cu 0.3333 0.6667 0.6649
Cl 0.0000 0.0000 0.9998

Output
DOS at the Fermi energy in states/eV/atom: 0.693
Energy relative to the lowest polymorph listed for this composition in meV per atom: 0.0
Formation energy from raw total energies in eV per atom: 0.721
Size of the total moment in μB/f.u.: 0.0
E in Ry per atom: -2.2759
Volume in Å³/f.u.: 41.6



# 7
First-principles (meta-GGA SCAN) data for a PBEsol-optimized structure of CuP2Cl, as listed in the Alexandria database.

Cell lengths 3.2705, 3.2705, 6.8293 Å; angles 90.00, 90.00, 90.00 degrees
Fractional positions:
Cl 0.5000 0.5000 0.5000
Cu 0.0000 0.0000 0.5000
P 0.0000 0.5000 0.0000
P 0.5000 0.0000 0.0000

Output
DOS at the Fermi energy in states/eV/atom: 0.358
Energy relative to the lowest polymorph listed for this composition in meV per atom: 0.0
Formation energy from raw total energies in eV per atom: 0.187
Size of the total moment in μB/f.u.: 0.0
E in Ry per atom: -0.7943
Volume in Å³/f.u.: 73.0



# 8
First-principles (meta-GGA SCAN) data for a PBEsol-optimized structure of CuP2Cl, as listed in the Alexandria database.

Cell lengths 4.3565, 4.3565, 4.3565 Å; angles 60.00, 60.00, 60.00 degrees
Fractional positions:
Cl 0.5000 0.5000 0.5000
Cu 0.7500 0.7500 0.7500
P 0.0000 0.0000 0.0000
P 0.2500 0.2500 0.2500

Output
DOS at the Fermi energy in states/eV/atom: 0.401
Energy relative to the lowest polymorph listed for this composition in meV per atom: 543.1
Formation energy from raw total energies in eV per atom: 0.730
Size of the total moment in μB/f.u.: 0.0
E in Ry per atom: -0.7544
Volume in Å³/f.u.: 58.5



# 9
First-principles (meta-GGA SCAN) data for a PBEsol-optimized structure of CuPRhCl2, as listed in the Alexandria database.

Cell lengths 4.3724, 4.8389, 4.8389 Å; angles 90.00, 90.00, 90.00 degrees
Fractional positions:
P 0.5000 0.0000 0.0000
Rh 0.0000 0.0000 0.0000
Cu 0.5000 0.5000 0.5000
Cl 0.0000 0.0000 0.5000
Cl 0.0000 0.5000 0.0000

Output
DOS at the Fermi energy in states/eV/atom: 0.457
Formation energy from raw total energies in eV per atom: 0.368
Size of the total moment in μB/f.u.: 0.0
E in Ry per atom: -1.0802
Volume in Å³/f.u.: 102.4



# 10
First-principles (meta-GGA SCAN) data for a PBEsol-optimized structure of ScCuPCl2, as listed in the Alexandria database.

Cell lengths 4.7107, 4.7107, 5.3251 Å; angles 90.00, 90.00, 90.00 degrees
Fractional positions:
Sc 0.0000 0.0000 0.0000
P 0.0000 0.0000 0.5000
Cu 0.5000 0.5000 0.5000
Cl 0.0000 0.5000 0.0000
Cl 0.5000 0.0000 0.0000

Output
DOS at the Fermi energy in states/eV/atom: 0.373
Formation energy from raw total energies in eV per atom: -0.465
Size of the total moment in μB/f.u.: 0.9
E in Ry per atom: -0.8543
Volume in Å³/f.u.: 118.2



# 11
First-principles (meta-GGA SCAN) data for a PBEsol-optimized structure of CuP4Se3Cl, as listed in the Alexandria database.

Cell lengths 6.2798, 11.2216, 12.2026 Å; angles 90.00, 100.56, 90.00 degrees
Fractional positions:
Cu 0.7660 0.3554 0.9829
Cu 0.7340 0.8554 0.0171
Cu 0.2340 0.6446 0.0171
Cu 0.2660 0.1446 0.9829
P 0.7690 0.5293 0.4128
P 0.7310 0.0293 0.5872
P 0.2310 0.4707 0.5872
P 0.2690 0.9707 0.4128
P 0.7032 0.4280 0.1430
P 0.7968 0.9280 0.8570
P 0.2968 0.5720 0.8570
P 0.2032 0.0720 0.1430
P 0.4338 0.3511 0.2190
P 0.0662 0.8511 0.7810
P 0.5662 0.6489 0.7810
P 0.9338 0.1489 0.2190
P 0.4234 0.5425 0.1593
P 0.0766 0.0425 0.8407
P 0.5766 0.4575 0.8407
P 0.9234 0.9575 0.1593
Se 0.5327 0.6567 0.3099
Se 0.9673 0.1567 0.6901
Se 0.4673 0.3433 0.6901
Se 0.0327 0.8433 0.3099
Se 0.9709 0.4766 0.2846
Se 0.5291 0.9766 0.7154
Se 0.0291 0.5234 0.7154
Se 0.4709 0.0234 0.2846
Se 0.5565 0.3635 0.4041
Se 0.9435 0.8635 0.5959
Se 0.4435 0.6365 0.5959
Se 0.0565 0.1365 0.4041
Cl 0.6184 0.1671 0.9695
Cl 0.8816 0.6671 0.0305
Cl 0.3816 0.8329 0.0305
Cl 0.1184 0.3329 0.9695

Output
DOS at the Fermi energy in states/eV/atom: 0.000
Formation energy from raw total energies in eV per atom: -0.214
Size of the total moment in μB/f.u.: 0.0
E in Ry per atom: -1.0366
Volume in Å³/f.u.: 211.3



# 12
First-principles (meta-GGA SCAN) data for a PBEsol-optimized structure of CuPSeCl2, as listed in the Alexandria database.

Cell lengths 4.4088, 4.4088, 4.8326 Å; angles 90.00, 90.00, 90.00 degrees
Fractional positions:
P 0.0000 0.0000 0.5000
Cu 0.0000 0.0000 0.0000
Se 0.5000 0.5000 0.5000
Cl 0.0000 0.5000 0.0000
Cl 0.5000 0.0000 0.0000

Output
DOS at the Fermi energy in states/eV/atom: 0.394
Formation energy from raw total energies in eV per atom: 0.374
Size of the total moment in μB/f.u.: 0.6
E in Ry per atom: -0.8785
Volume in Å³/f.u.: 93.9



Repeat the third record exactly.
First-principles (meta-GGA SCAN) data for a PBEsol-optimized structure of ZnCuTeCl2O3, as listed in the Alexandria database.

Cell lengths 7.2945, 9.9929, 15.4301 Å; angles 90.00, 90.00, 90.00 degrees
Fractional positions:
Zn 0.8553 0.4833 0.6194
Zn 0.8553 0.0167 0.8806
Zn 0.6447 0.5167 0.1194
Zn 0.3553 0.4833 0.8806
Zn 0.1447 0.5167 0.3806
Zn 0.1447 0.9833 0.1194
Zn 0.3553 0.0167 0.6194
Zn 0.6447 0.9833 0.3806
Cu 0.8777 0.2356 0.4429
Cu 0.8777 0.2644 0.0571
Cu 0.3777 0.2356 0.0571
Cu 0.6223 0.7356 0.5571
Cu 0.1223 0.7356 0.9429
Cu 0.3777 0.2644 0.4429
Cu 0.6223 0.7644 0.9429
Cu 0.1223 0.7644 0.5571
Te 0.6867 0.0047 0.0920
Te 0.6867 0.4953 0.4080
Te 0.8133 0.9953 0.5920
Te 0.1867 0.4953 0.0920
Te 0.3133 0.9953 0.9080
Te 0.8133 0.5047 0.9080
Te 0.1867 0.0047 0.4080
Te 0.3133 0.5047 0.5920
Cl 0.4880 0.7083 0.1258
Cl 0.3165 0.4383 0.2735
Cl 0.5120 0.2917 0.8742
Cl 0.1835 0.5617 0.7735
Cl 0.6835 0.5617 0.7265
Cl 0.1835 0.9383 0.7265
Cl 0.4880 0.7917 0.3742
Cl 0.6835 0.9383 0.7735
Cl 0.5120 0.2083 0.6258
Cl 0.0120 0.2917 0.6258
Cl 0.9880 0.7083 0.3742
Cl 0.9880 0.7917 0.1258
Cl 0.3165 0.0617 0.2265
Cl 0.0120 0.2083 0.8742
Cl 0.8165 0.4383 0.2265
Cl 0.8165 0.0617 0.2735
O 0.6784 0.9489 0.9702
O 0.3216 0.4489 0.4702
O 0.1784 0.9489 0.5298
O 0.0732 0.5807 0.5782
O 0.3699 0.8091 0.9337
O 0.1301 0.3091 0.0663
O 0.6784 0.5511 0.5298
O 0.4268 0.0807 0.4218
O 0.6301 0.1909 0.0663
O 0.8216 0.0511 0.4702
O 0.3216 0.0511 0.0298
O 0.5732 0.5807 0.9218
O 0.6301 0.3091 0.4337
O 0.8699 0.6909 0.9337
O 0.1784 0.5511 0.9702
O 0.4268 0.4193 0.0782
O 0.1301 0.1909 0.4337
O 0.3699 0.6909 0.5663
O 0.9268 0.0807 0.0782
O 0.8699 0.8091 0.5663
O 0.5732 0.9193 0.5782
O 0.0732 0.9193 0.9218
O 0.9268 0.4193 0.4218
O 0.8216 0.4489 0.0298

Output
DOS at the Fermi energy in states/eV/atom: 0.134
Formation energy from raw total energies in eV per atom: -1.082
Size of the total moment in μB/f.u.: 0.0
E in Ry per atom: -1.0039
Volume in Å³/f.u.: 140.6



- Which of these has the highest formation energy from raw total energies?
  CuOsCl3



- Which of these has the highest formation energy from raw total energies?
  CuOsCl3